Record 1
Material: HoTm3Pu3S8
Method: DFT, PBE
State: optimized geometry

abc: 7.817 7.817 7.817
angles: 59.69 59.69 59.69
Fractional coordinates of all 15 atoms:
Ho  0.000  0.000  0.000
Tm  0.000  0.500  0.500
Tm  0.500  0.000  0.500
Tm  0.500  0.500  0.000
Pu  0.000  0.000  0.500
Pu  0.000  0.500  0.000
Pu  0.500  0.000  0.000
S  0.249  0.249  0.744
S  0.249  0.744  0.249
S  0.253  0.253  0.253
S  0.256  0.751  0.751
S  0.744  0.249  0.249
S  0.747  0.747  0.747
S  0.751  0.256  0.751
S  0.751  0.751  0.256

Results
Its space group is R-3m (166). For the uncorrected formation energy, the calculation gives -1928 meV per atom.

Record 2
Material: Nd2TmPaAs4
Method: DFT, PBE
State: optimized geometry

abc: 7.186 4.174 7.252
angles: 90.00 109.42 90.00
Fractional coordinates of all 8 atoms:
Nd  0.000  0.000  0.000
Nd  0.500  0.500  0.000
Tm  0.000  0.500  0.500
Pa  0.500  0.000  0.500
As  0.247  0.000  0.735
As  0.255  0.500  0.265
As  0.745  0.500  0.735
As  0.753  0.000  0.265

Results
The formation energy comes out at -1.401 eV/atom. Its space group is P2/m (10).

Record 3
Material: LaZnRe2
Method: DFT, PBE
State: optimized geometry

abc: 4.453 4.453 5.936
angles: 111.89 111.89 59.97
Fractional coordinates of all 4 atoms:
La  0.000  0.000  0.000
Zn  0.500  0.500  0.500
Re  0.182  0.182  0.545
Re  0.818  0.818  0.455

Results
The formation energy comes out at 0.118 eV/atom. Its space group is C2/m (12).

Record 4
Material: Na3Te2
Method: DFT, PBE
State: optimized geometry

abc: 6.977 6.977 6.977
angles: 77.05 77.05 77.05
Fractional coordinates of all 10 atoms:
Na  0.047  0.750  0.453
Na  0.250  0.547  0.953
Na  0.453  0.047  0.750
Na  0.547  0.953  0.250
Na  0.750  0.453  0.047
Na  0.953  0.250  0.547
Te  0.121  0.121  0.121
Te  0.379  0.379  0.379
Te  0.621  0.621  0.621
Te  0.879  0.879  0.879

Results
Its space group is R-3c (167). For the uncorrected formation energy, the calculation gives -770 meV per atom.

Record 5
Material: TmPaFeNi
Method: DFT, PBE
State: optimized geometry

abc: 4.701 4.701 4.701
angles: 60.00 60.00 60.00
Fractional coordinates of all 4 atoms:
Tm  0.000  0.000  0.000
Pa  0.500  0.500  0.500
Fe  0.750  0.750  0.750
Ni  0.250  0.250  0.250

Results
The formation energy comes out at -0.116 eV/atom. Its space group is F-43m (216).

Record 6
Material: La6PrNdSm2
Method: DFT, PBE
State: optimized geometry

abc: 6.728 6.728 9.076
angles: 100.90 100.90 65.30
Fractional coordinates of all 10 atoms:
La  0.093  0.548  0.203
La  0.134  0.134  0.429
La  0.452  0.907  0.797
La  0.548  0.093  0.203
La  0.866  0.866  0.571
La  0.907  0.452  0.797
Pr  0.000  0.000  0.000
Nd  0.500  0.500  0.500
Sm  0.407  0.407  0.844
Sm  0.593  0.593  0.156

Results
The formation energy comes out at 0.177 eV/atom. Its space group is C2/m (12).